(1)
Compound: NbRuRhCl2
Source: Alexandria via LeMat-Bulk
Functional: GGA-PBE
Structure: optimized geometry

Cell: 4.6909 4.6909 5.0302 Å, 90.00 90.00 90.00°
Last column: nearest neighbours and their distance in Å.
Space group P4/mmm (No. 123)
Unique sites:
Nb1 0.0000 0.0000 0.0000  4 Cl 2.35, 2 Rh 2.52
Ru1 0.5000 0.5000 0.5000  4 Rh 3.32, 8 Cl 3.44
Rh1 0.0000 0.0000 0.5000  2 Nb 2.52
Cl1 0.0000 0.5000 0.0000  2 Nb 2.35

Output
- Uncorrected formation energy: 4.3 eV per formula unit
- N(E_F): 1.818 states/eV per atom
- VASP energy: -26.05 eV per cell

=====

(2)
Compound: Al3Re
Source: Alexandria via LeMat-Bulk
Functional: GGA-PBE
Structure: optimized geometry

Cell: 2.8042 2.8042 7.9434 Å, 90.00 90.00 90.00°
Last column: nearest neighbours and their distance in Å.
Space group P4/mmm (No. 123)
Unique sites:
Al1 0.0000 0.0000 0.0000  12 Al 2.80-2.91
Al2 0.5000 0.5000 0.2680  4 Re 2.71, 8 Al 2.80-2.91
Re1 0.0000 0.0000 0.5000  8 Al 2.71, 4 Re 2.80

Output
- ΔH_f (0 K): 0.005 eV per atom
- N(E_F): 0.700 states/eV per atom
- VASP energy: -23.66 eV per cell

=====

(3)
Compound: Mg2SiGeAu
Source: Alexandria via LeMat-Bulk
Functional: GGA-PBE
Structure: optimized geometry

Cell: 5.0136 5.0136 4.6589 Å, 90.00 90.00 90.00°
Last column: nearest neighbours and their distance in Å.
Space group P4/mmm (No. 123)
Unique sites:
Mg1 0.0000 0.5000 0.0000  2 Ge 2.51
Si1 0.0000 0.0000 0.5000  2 Ge 2.33
Ge1 0.0000 0.0000 0.0000  2 Si 2.33, 4 Mg 2.51
Au1 0.5000 0.5000 0.5000  8 Mg 3.42, 4 Si 3.55

Output
- Uncorrected formation energy: 2.0 eV per formula unit
- N(E_F): 0.497 states/eV per atom
- VASP energy: -14.52 eV per cell

=====

(4)
Compound: PmGa2Pd6
Source: Alexandria via LeMat-Bulk
Functional: GGA-PBE
Structure: optimized geometry

Cell: 4.8757 4.8757 8.6955 Å, 90.00 90.00 120.00°
Last column: nearest neighbours and their distance in Å.
Space group P-31m (No. 162)
Unique sites:
Pm1 0.0000 0.0000 0.0000  6 Pd 2.87
Ga1 0.3333 0.6667 0.5000  6 Pd 2.57, 3 Ga 2.82
Pd1 0.0000 0.3422 0.7312  2 Ga 2.57, 4 Pd 2.78, 1 Pm 2.87

Output
- ΔH_f (0 K): -0.344 eV per atom
- N(E_F): 0.579 states/eV per atom
- VASP energy: -45.06 eV per cell

=====

(5)
Compound: KOs2Cl
Source: Alexandria via LeMat-Bulk
Functional: GGA-PBE
Structure: optimized geometry

Cell: 2.9660 5.0530 9.6424 Å, 90.00 90.00 90.00°
Last column: nearest neighbours and their distance in Å.
Space group Cmm2 (No. 35)
Unique sites:
K1 0.0000 0.0000 0.0000  2 Cl 2.82, 6 K 2.93-2.97
Os1 0.0000 0.0000 0.5204  2 Os 2.54, 2 Cl 2.67
Os2 0.0000 0.5000 0.3068  2 Os 2.54
Cl1 0.0000 0.5000 0.7509  2 Os 2.67, 2 K 2.82, 6 Cl 2.93-2.97

Output
- Distance to the lowest polymorph of the same formula: 0.552 eV/atom
- Uncorrected formation energy: 3.2 eV per formula unit
- N(E_F): 1.053 states/eV per atom
- VASP energy: -44.34 eV per cell

=====

(6)
Compound: Ca2YCd
Source: Alexandria via LeMat-Bulk
Functional: GGA-PBE
Structure: optimized geometry

Cell: 7.0828 10.0562 3.6656 Å, 90.00 90.00 90.00°
Last column: nearest neighbours and their distance in Å.
Space group Cmmm (No. 65)
Unique sites:
Ca1 0.2500 0.2500 0.0000  4 Ca 3.54-3.67, 4 Cd 3.58, 4 Y 3.58
Y1 0.0000 0.0000 0.5000  2 Cd 3.54, 8 Ca 3.58, 2 Y 3.67
Cd1 0.0000 0.5000 0.5000  2 Y 3.54, 8 Ca 3.58, 2 Cd 3.67

Output
- ΔH_f (0 K): -0.008 eV per atom
- N(E_F): 1.411 states/eV per atom
- VASP energy: -22.83 eV per cell